[1]
Cs2MoCl7: optimized geometry, PBE.

Computed properties:
Energy above the lowest structure with this stoichiometry (eV/f.u.): 0.00
Energy relative to the elements, uncorrected (eV/atom): -1.23
Density (g cm⁻³): 2.987

Unit cell a=9.6155 b=9.6155 c=12.8862 alpha=126.35 beta=126.35 gamma=48.51
Fractional positions:
Cs: 0.0444 0.6776 0.9488
Cs: 0.3224 0.9556 0.5512
Cs: 0.6776 0.0444 0.4488
Cs: 0.9556 0.3224 0.0512
Mo: 0.2777 0.7223 0.7500
Mo: 0.7223 0.2777 0.2500
Cl: 0.0686 0.1081 0.2592
Cl: 0.1081 0.0686 0.7592
Cl: 0.1992 0.6378 0.5145
Cl: 0.2111 0.4686 0.6837
Cl: 0.3622 0.8008 0.9855
Cl: 0.4096 0.5904 0.2500
Cl: 0.4686 0.2111 0.1837
Cl: 0.5314 0.7889 0.8163
Cl: 0.5904 0.4096 0.7500
Cl: 0.6378 0.1992 0.0145
Cl: 0.7889 0.5314 0.3163
Cl: 0.8008 0.3622 0.4855
Cl: 0.8919 0.9314 0.2408
Cl: 0.9314 0.8919 0.7408


[2]
Ac2La8Pr3: optimized geometry, PBE.

Computed properties:
Energy above the lowest structure with this stoichiometry (eV/f.u.): 1.08
Formation energy from the elements (eV/atom): 0.23
Density (g cm⁻³): 6.434

Unit cell a=13.4556 b=13.4556 c=13.4556 alpha=29.20 beta=29.20 gamma=29.20
Fractional positions:
Ac: 0.1400 0.1400 0.1400
Ac: 0.8600 0.8600 0.8600
La: 0.2155 0.2155 0.7280
La: 0.2155 0.7280 0.2155
La: 0.2261 0.2261 0.2261
La: 0.2720 0.7845 0.7845
La: 0.7280 0.2155 0.2155
La: 0.7739 0.7739 0.7739
La: 0.7845 0.2720 0.7845
La: 0.7845 0.7845 0.2720
Pr: 0.3128 0.3128 0.3128
Pr: 0.5000 0.5000 0.5000
Pr: 0.6872 0.6872 0.6872


[3]
CeZrS: optimized geometry, PBE.

Computed properties:
Energy relative to the elements, uncorrected (eV/atom): -0.84
Density (g cm⁻³): 6.068

Unit cell a=6.5081 b=6.5081 c=6.8784 alpha=90.00 beta=90.00 gamma=98.23
Fractional positions:
Ce: 0.2098 0.2098 0.0000
Ce: 0.2902 0.2902 0.5000
Ce: 0.7098 0.7098 0.5000
Ce: 0.7902 0.7902 0.0000
Zr: 0.1965 0.8035 0.6631
Zr: 0.3035 0.6965 0.1631
Zr: 0.6965 0.3035 0.8369
Zr: 0.8035 0.1965 0.3369
S: 0.0707 0.9293 0.3070
S: 0.4293 0.5707 0.8070
S: 0.5707 0.4293 0.1930
S: 0.9293 0.0707 0.6930


[4]
LaTh2Pt: optimized geometry, PBE.

Computed properties:
Energy above the lowest structure with this stoichiometry (eV/f.u.): 0.71
Formation energy from the elements (eV/atom): -0.43
Density (g cm⁻³): 10.390

Unit cell a=9.7791 b=9.7791 c=9.7791 alpha=23.21 beta=23.21 gamma=23.21
Fractional positions:
La: 0.0000 0.0000 0.0000
Th: 0.5660 0.5660 0.5660
Th: 0.7706 0.7706 0.7706
Pt: 0.1676 0.1676 0.1676


[5]
Ba8MgIn2: optimized geometry, PBE.

Computed properties:
Energy above the lowest structure with this stoichiometry (eV/f.u.): 0.00
Formation energy from the elements (eV/atom): -0.17
Density (g cm⁻³): 4.201

Unit cell a=11.2099 b=11.2099 c=8.6148 alpha=108.45 beta=108.45 gamma=31.53
Fractional positions:
Ba: 0.0312 0.0312 0.2807
Ba: 0.1988 0.1988 0.8002
Ba: 0.3315 0.3315 0.5422
Ba: 0.3993 0.3993 0.0458
Ba: 0.6007 0.6007 0.9542
Ba: 0.6685 0.6685 0.4578
Ba: 0.8012 0.8012 0.1998
Ba: 0.9688 0.9688 0.7193
Mg: 0.5000 0.5000 0.5000
In: 0.1850 0.1850 0.1993
In: 0.8150 0.8150 0.8007


[6]
CaAc2Sm: optimized geometry, PBE.

Computed properties:
Energy above the lowest structure with this stoichiometry (eV/f.u.): 0.17
Formation energy from the elements (eV/atom): 0.06
Density (g cm⁻³): 6.580

Unit cell a=5.6100 b=5.6100 c=5.1674 alpha=90.00 beta=90.00 gamma=90.00
Fractional positions:
Ca: 0.0000 0.0000 0.0000
Ac: 0.0000 0.5000 0.5000
Ac: 0.5000 0.0000 0.5000
Sm: 0.5000 0.5000 0.0000